*i*
A plane-wave DFT calculation with GGA-PBE was carried out for Nd3Sc3Te2Ir after structural relaxation.

a b c (Å): 8.4037 8.4037 3.8383
angles (deg): 90.00 90.00 120.00
Last column: nearest neighbours and their distance in Å.
Space group P-62m (No. 189)
Symmetry-distinct sites (fractional):
Nd 0.0000 0.7470 0.0000 (multiplicity 3)  2 Ir 2.86, 2 Te 3.19
Sc 0.0000 0.3979 0.5000 (multiplicity 3)  4 Te 3.21, 1 Ir 3.34, 6 Nd 3.50-3.51
Te 0.3333 0.6667 0.0000 (multiplicity 2)  3 Nd 3.19, 6 Sc 3.21
Ir 0.0000 0.0000 0.5000 (multiplicity 1)  6 Nd 2.86



*ii*
A plane-wave DFT calculation with GGA-PBE was carried out for Nd3Sc3Te2Ir after structural relaxation.

a b c (Å): 8.1285 8.1285 4.0731
angles (deg): 90.00 90.00 120.00
Last column: nearest neighbours and their distance in Å.
Space group P-62m (No. 189)
Symmetry-distinct sites (fractional):
Nd 0.0000 0.3963 0.0000 (multiplicity 3)  4 Te 3.22, 1 Ir 3.22, 4 Sc 3.46
Sc 0.0000 0.7735 0.5000 (multiplicity 3)  2 Ir 2.75
Te 0.3333 0.6667 0.5000 (multiplicity 2)  6 Nd 3.22, 3 Sc 3.23
Ir 0.0000 0.0000 0.0000 (multiplicity 1)  6 Sc 2.75



Energies, relative to the best one, in meV per atom: *i* 247; *ii* 0.



*i*
A plane-wave DFT calculation with GGA-PBE was carried out for Nd3Tm3Te2Ir after structural relaxation.

a b c (Å): 8.4253 8.4253 4.0607
angles (deg): 90.00 90.00 120.00
Last column: nearest neighbours and their distance in Å.
Space group P-62m (No. 189)
Symmetry-distinct sites (fractional):
Nd 0.0000 0.4006 0.0000 (multiplicity 3)  4 Te 3.28, 1 Ir 3.38, 4 Tm 3.57
Tm 0.0000 0.7662 0.5000 (multiplicity 3)  2 Ir 2.83
Te 0.3333 0.6667 0.5000 (multiplicity 2)  6 Nd 3.28, 3 Tm 3.31
Ir 0.0000 0.0000 0.0000 (multiplicity 1)  6 Tm 2.83



*ii*
A plane-wave DFT calculation with GGA-PBE was carried out for Nd3Tm3Te2Ir after structural relaxation.

a b c (Å): 8.5522 8.5522 3.9427
angles (deg): 90.00 90.00 120.00
Last column: nearest neighbours and their distance in Å.
Space group P-62m (No. 189)
Symmetry-distinct sites (fractional):
Nd 0.0000 0.7514 0.0000 (multiplicity 3)  2 Ir 2.90
Tm 0.0000 0.3981 0.5000 (multiplicity 3)  4 Te 3.28, 1 Ir 3.40, 6 Nd 3.57-3.61
Te 0.3333 0.6667 0.0000 (multiplicity 2)  3 Nd 3.27, 6 Tm 3.28
Ir 0.0000 0.0000 0.5000 (multiplicity 1)  6 Nd 2.90



Energies, relative to the best one, in meV per atom: *i* 0; *ii* 179.



*i*
A plane-wave DFT calculation with GGA-PBE was carried out for Nd3Zr3Te2Ir after structural relaxation.

a b c (Å): 8.2030 8.2030 4.0020
angles (deg): 90.00 90.00 120.00
Last column: nearest neighbours and their distance in Å.
Space group P-62m (No. 189)
Symmetry-distinct sites (fractional):
Nd 0.0000 0.4038 0.0000 (multiplicity 3)  4 Te 3.20, 1 Ir 3.31, 4 Zr 3.51
Zr 0.0000 0.7697 0.5000 (multiplicity 3)  2 Ir 2.75
Te 0.3333 0.6667 0.5000 (multiplicity 2)  6 Nd 3.20, 3 Zr 3.24
Ir 0.0000 0.0000 0.0000 (multiplicity 1)  6 Zr 2.75



*ii*
A plane-wave DFT calculation with GGA-PBE was carried out for Nd3Zr3Te2Ir after structural relaxation.

a b c (Å): 8.3988 8.3988 3.7584
angles (deg): 90.00 90.00 120.00
Last column: nearest neighbours and their distance in Å.
Space group P-62m (No. 189)
Symmetry-distinct sites (fractional):
Nd 0.0000 0.7475 0.0000 (multiplicity 3)  2 Ir 2.83
Zr 0.0000 0.4099 0.5000 (multiplicity 3)  4 Te 3.16, 2 Nd 3.40, 1 Ir 3.44
Te 0.3333 0.6667 0.0000 (multiplicity 2)  6 Zr 3.16, 3 Nd 3.19
Ir 0.0000 0.0000 0.5000 (multiplicity 1)  6 Nd 2.83



Energies, relative to the best one, in meV per atom: *i* 0; *ii* 304.



*i*
A plane-wave DFT calculation with GGA-PBE was carried out for NdZrIr after structural relaxation.

a b c (Å): 6.5833 6.5833 6.5833
angles (deg): 90.00 90.00 90.00
Last column: nearest neighbours and their distance in Å.
Space group F-43m (No. 216)
Symmetry-distinct sites (fractional):
Nd 0.0000 0.0000 0.0000 (multiplicity 4)  4 Zr 2.85
Zr 0.2500 0.2500 0.7500 (multiplicity 4)  4 Nd 2.85, 4 Ir 2.85
Ir 0.0000 0.0000 0.5000 (multiplicity 4)  4 Zr 2.85



*ii*
A plane-wave DFT calculation with GGA-PBE was carried out for NdZrIr after structural relaxation.

a b c (Å): 6.6240 6.6240 6.6240
angles (deg): 90.00 90.00 90.00
Last column: nearest neighbours and their distance in Å.
Space group F-43m (No. 216)
Symmetry-distinct sites (fractional):
Nd 0.0000 0.0000 0.0000 (multiplicity 4)  4 Zr 2.87, 4 Ir 2.87
Zr 0.2500 0.2500 0.2500 (multiplicity 4)  4 Nd 2.87
Ir 0.2500 0.2500 0.7500 (multiplicity 4)  4 Nd 2.87



Energies, relative to the best one, in meV per atom: *i* 0; *ii* 448.